No. 1
# Y4ZnP | Alexandria via LeMat-Bulk | meta-GGA SCAN | PBEsol geometry
# **Symmetry**: F-43m, No. 216
# **V**: 25.6 A^3/atom
# **DFT formation energy**: 529 meV per atom
data_Y4ZnP
_cell_length_a 6.011
_cell_length_b 6.011
_cell_length_c 6.011
_cell_angle_alpha 60.00
_cell_angle_beta 60.00
_cell_angle_gamma 60.00
_space_group_name_H-M_alt 'P 1'
_space_group_IT_number 1
loop_
_space_group_symop_operation_xyz
'x,y,z'
loop_
_atom_site_label
_atom_site_fract_x
_atom_site_fract_y
_atom_site_fract_z
Y1 0.125 0.125 0.125
Y2 0.125 0.125 0.625
Y3 0.125 0.625 0.125
Y4 0.625 0.125 0.125
Zn1 0.750 0.750 0.750
P1 0.500 0.500 0.500

***

No. 2
# CoSi2Rh | Alexandria via LeMat-Bulk | meta-GGA SCAN | PBEsol geometry
# **Symmetry**: Cmmm, No. 65
# **V**: 11.8 A^3/atom
# **Uncorrected formation energy**: -0.45 eV/atom
# **Energy above the most stable polymorph in this dataset**: 0.7 meV per atom
data_CoSi2Rh
_cell_length_a 4.123
_cell_length_b 4.123
_cell_length_c 2.779
_cell_angle_alpha 90.00
_cell_angle_beta 90.00
_cell_angle_gamma 95.62
_space_group_name_H-M_alt 'P 1'
_space_group_IT_number 1
loop_
_space_group_symop_operation_xyz
'x,y,z'
loop_
_atom_site_label
_atom_site_fract_x
_atom_site_fract_y
_atom_site_fract_z
Co1 0.000 0.000 0.000
Si1 0.000 0.500 0.500
Si2 0.500 0.000 0.500
Rh1 0.500 0.500 0.000

***

No. 3
# ZrTa2Ni | Alexandria via LeMat-Bulk | meta-GGA SCAN | PBEsol geometry
# **Symmetry**: R3m, No. 160
# **V**: 17.4 A^3/atom
# **DFT formation energy**: 182 meV per atom
# **Energy above the most stable polymorph in this dataset**: 241.0 meV per atom
data_ZrTa2Ni
_cell_length_a 8.914
_cell_length_b 8.914
_cell_length_c 8.914
_cell_angle_alpha 19.56
_cell_angle_beta 19.56
_cell_angle_gamma 19.56
_space_group_name_H-M_alt 'P 1'
_space_group_IT_number 1
loop_
_space_group_symop_operation_xyz
'x,y,z'
loop_
_atom_site_label
_atom_site_fract_x
_atom_site_fract_y
_atom_site_fract_z
Zr1 0.000 0.000 0.000
Ta1 0.239 0.239 0.239
Ta2 0.485 0.485 0.485
Ni1 0.747 0.747 0.747